No. 1
# GGA-PBE Ca3Cd5, optimized geometry
data_Ca3Cd5
_chemical_formula_sum 'Ca6 Cd10'
_space_group_name_H-M_alt 'C m m m'
_space_group_IT_number 65
_space_group_name_Hall '-C 2 2'
_cell_length_a 7.8394
_cell_length_b 10.5558
_cell_length_c 5.1876
_cell_angle_alpha 90.00
_cell_angle_beta 90.00
_cell_angle_gamma 90.00
loop_
_atom_site_label
_atom_site_type_symbol
_atom_site_fract_x
_atom_site_fract_y
_atom_site_fract_z
Ca1 Ca 0.0000 0.0000 0.0000
Ca2 Ca 0.0000 0.2662 0.5000
Cd1 Cd 0.0000 0.5000 0.0000
Cd2 Cd 0.2401 0.0000 0.5000
Cd3 Cd 0.2500 0.2500 0.0000
# - formation energy from the elements (meV per atom) = -275.9
# - ΔE to the lowest computed polymorph (meV per atom) = 27

***

No. 2
# GGA-PBE KTaI2, optimized geometry
data_KTaI2
_chemical_formula_sum 'K4 Ta4 I8'
_space_group_name_H-M_alt 'I -4 2 d'
_space_group_IT_number 122
_space_group_name_Hall 'I -4 2bw'
_cell_length_a 6.6895
_cell_length_b 6.6895
_cell_length_c 16.3999
_cell_angle_alpha 90.00
_cell_angle_beta 90.00
_cell_angle_gamma 90.00
loop_
_atom_site_label
_atom_site_type_symbol
_atom_site_fract_x
_atom_site_fract_y
_atom_site_fract_z
K1 K 0.0000 0.0000 0.0000
Ta1 Ta 0.0000 0.0000 0.5000
I1 I 0.1674 0.2500 0.6250
# - formation energy from raw total energies (eV per atom) = 0.316
# - ΔE to the lowest computed polymorph (meV per atom) = 0

***

No. 3
# GGA-PBE Pr2DyCu2, optimized geometry
data_Pr2DyCu2
_chemical_formula_sum 'Pr8 Dy4 Cu8'
_space_group_name_H-M_alt 'C 1 2/m 1'
_space_group_IT_number 12
_cell_length_a 12.0005
_cell_length_b 4.6705
_cell_length_c 10.5913
_cell_angle_alpha 90.00
_cell_angle_beta 121.39
_cell_angle_gamma 90.00
loop_
_space_group_symop_operation_xyz
'x,y,z'
'-x,-y,-z'
'-x,y,-z'
'x,-y,z'
'x+1/2,y+1/2,z'
'-x+1/2,-y+1/2,-z'
'-x+1/2,y+1/2,-z'
'x+1/2,-y+1/2,z'
loop_
_atom_site_label
_atom_site_type_symbol
_atom_site_fract_x
_atom_site_fract_y
_atom_site_fract_z
Pr1 Pr 0.0352 0.0000 0.1916
Pr2 Pr 0.1798 0.0000 0.5898
Dy1 Dy 0.1986 0.5000 0.8549
Cu1 Cu 0.0428 0.5000 0.4107
Cu2 Cu 0.1239 0.5000 0.0660
# - formation energy from the elements (meV per atom) = -97.4

***

No. 4
# GGA-PBE BaLi3Si3, optimized geometry
data_BaLi3Si3
_chemical_formula_sum 'Ba2 Li6 Si6'
_space_group_name_H-M_alt 'P 63/m'
_space_group_IT_number 176
_space_group_name_Hall '-P 6c'
_cell_length_a 10.3838
_cell_length_b 10.3838
_cell_length_c 3.8887
_cell_angle_alpha 90.00
_cell_angle_beta 90.00
_cell_angle_gamma 120.00
loop_
_atom_site_label
_atom_site_type_symbol
_atom_site_fract_x
_atom_site_fract_y
_atom_site_fract_z
Ba1 Ba 0.3333 0.6667 0.2500
Li1 Li 0.1070 0.3551 0.7500
Si1 Si 0.0403 0.5803 0.7500
# - formation energy from raw total energies (eV per atom) = -0.217

***

No. 5
# GGA-PBE MnCoCu2, optimized geometry
data_MnCoCu2
_chemical_formula_sum 'Mn3 Co3 Cu6'
_space_group_name_H-M_alt 'R -3 m'
_space_group_IT_number 166
_space_group_name_Hall '-R 3 2"'
_cell_length_a 2.5168
_cell_length_b 2.5168
_cell_length_c 25.6414
_cell_angle_alpha 90.00
_cell_angle_beta 90.00
_cell_angle_gamma 120.00
loop_
_atom_site_label
_atom_site_type_symbol
_atom_site_fract_x
_atom_site_fract_y
_atom_site_fract_z
Mn1 Mn 0.0000 0.0000 0.0000
Co1 Co 0.0000 0.0000 0.5000
Cu1 Cu 0.0000 0.0000 0.2489
# - formation energy from the elements (meV per atom) = 198.2

***

No. 6
# GGA-PBE Sm2TmZn, optimized geometry
data_Sm2TmZn
_chemical_formula_sum 'Sm8 Tm4 Zn4'
_space_group_name_H-M_alt 'I 4/m m m'
_space_group_IT_number 139
_space_group_name_Hall '-I 4 2'
_cell_length_a 5.0776
_cell_length_b 5.0776
_cell_length_c 17.3207
_cell_angle_alpha 90.00
_cell_angle_beta 90.00
_cell_angle_gamma 90.00
loop_
_atom_site_label
_atom_site_type_symbol
_atom_site_fract_x
_atom_site_fract_y
_atom_site_fract_z
Sm1 Sm 0.0000 0.0000 0.1447
Sm2 Sm 0.0000 0.5000 0.0000
Tm1 Tm 0.0000 0.0000 0.3506
Zn1 Zn 0.0000 0.5000 0.2500
# - formation energy from the elements (meV per atom) = -157.4
# - ΔE to the lowest computed polymorph (meV per atom) = 0

***

| no. | energy (eV per cell) | calculated density (g/cm³) | size of the total moment (μB per cell) |
| --- | --- | --- | --- |
| 1 | -25.6 | 5.28 | 0.0 |
| 2 | -59.1 | 4.29 | 15.7 |
| 3 | -91.4 | 7.49 | 0.0 |
| 4 | -50.9 | 2.22 | 0.0 |
| 5 | -71.0 | 8.53 | 11.7 |
| 6 | -63.3 | 7.96 | 0.0 |